Record 1
10
Lattice="2.991 0.000 0.000 0.000 4.844 0.056 0.000 -1.441 11.229" Properties=species:S:1:pos:R:3 comment="Al2Ag3, optimized geometry, DFT GGA-PBEsol" spacegroup="P2_1/m (11)" relative_energy_ev_per_atom=0.037 m_tot_mub_per_fu=0.00 total_energy_ev_per_fu=-18.4 formation_enthalpy_0k_ev_per_atom=-0.05 pbc="T T T"
Al 2.243 2.803 2.339
Ag 2.243 -0.357 4.466
Ag 2.243 1.340 6.817
Ag 0.748 0.358 2.129
Al 0.748 2.153 11.269
Al 2.243 1.249 0.016
Ag 0.748 3.759 6.819
Ag 0.748 2.063 4.468
Ag 2.243 3.045 9.156
Al 0.748 0.599 8.946


Record 2
12
Lattice="4.956 0.022 0.021 0.912 6.277 -0.010 0.912 0.496 6.257" Properties=species:S:1:pos:R:3 comment="Al7Ag5, optimized geometry, DFT GGA-PBEsol" spacegroup="C2 (5)" relative_energy_ev_per_atom=0.015 m_tot_mub_per_fu=0.00 total_energy_ev_per_fu=-45.7 formation_enthalpy_0k_ev_per_atom=-0.04 pbc="T T T"
Ag 2.624 6.028 3.605
Al 0.912 4.347 2.083
Al 3.390 3.379 3.155
Al 3.390 5.335 1.033
Ag 5.087 5.076 4.643
Ag 4.156 2.716 0.550
Al 2.600 4.144 5.724
Ag 1.693 1.758 1.583
Al 0.912 2.383 4.211
Ag 0.912 6.251 0.018
Al 4.181 0.756 2.599
Al 3.390 1.455 5.240


Record 3
8
Lattice="3.895 0.000 0.000 0.000 5.755 0.000 0.000 0.000 5.755" Properties=species:S:1:pos:R:3 comment="AlAg, optimized geometry, DFT GGA-PBEsol" spacegroup="P4_2/mmc (131)" m_tot_mub_per_fu=0.00 total_energy_ev_per_fu=-7.5 formation_enthalpy_0k_ev_per_atom=-0.06 pbc="T T T"
Ag 1.947 4.278 0.000
Ag 0.000 0.000 4.278
Ag 1.947 1.477 0.000
Al 0.000 2.877 4.325
Ag 0.000 0.000 1.477
Al 0.000 2.877 1.430
Al 1.947 1.430 2.877
Al 1.947 4.325 2.877


Record 4
10
Lattice="4.911 -0.042 0.011 0.790 4.869 0.048 2.373 1.993 6.794" Properties=species:S:1:pos:R:3 comment="Al3Ag2, optimized geometry, DFT GGA-PBEsol" spacegroup="P-1 (2)" relative_energy_ev_per_atom=0.028 m_tot_mub_per_fu=0.00 total_energy_ev_per_fu=-19.1 formation_enthalpy_0k_ev_per_atom=-0.04 pbc="T T T"
Al 4.481 2.460 4.378
Al 6.018 5.542 6.508
Ag 4.450 1.661 1.641
Al 6.914 2.864 5.752
Ag 3.624 5.159 5.212
Al 1.160 3.956 1.101
Ag 6.053 4.691 3.814
Ag 2.020 2.129 3.039
Al 3.592 4.359 2.475
Al 2.055 1.278 0.345


Record 5
8
Lattice="4.793 0.005 0.064 -0.867 4.931 -0.021 -1.863 -0.353 5.474" Properties=species:S:1:pos:R:3 comment="Al5Ag3, optimized geometry, DFT GGA-PBEsol" spacegroup="P-1 (2)" relative_energy_ev_per_atom=0.018 m_tot_mub_per_fu=0.00 total_energy_ev_per_fu=-30.7 formation_enthalpy_0k_ev_per_atom=-0.04 pbc="T T T"
Al 3.382 1.025 3.479
Ag 0.969 -0.248 4.153
Al 1.963 2.468 0.022
Al -1.319 3.558 2.038
Al 2.503 3.402 4.840
Ag 1.093 4.830 1.365
Al -0.440 1.181 0.678
Ag 1.031 2.291 2.759


Record 6
8
Lattice="2.967 0.000 0.000 0.000 3.929 0.000 0.000 0.000 11.130" Properties=species:S:1:pos:R:3 comment="AlAg, optimized geometry, DFT GGA-PBEsol" spacegroup="Pmm2 (25)" m_tot_mub_per_fu=0.00 total_energy_ev_per_fu=-7.5 formation_enthalpy_0k_ev_per_atom=-0.04 pbc="T T T"
Ag 1.483 1.964 9.762
Ag 0.000 0.000 8.290
Al 0.000 0.000 2.778
Al 1.483 1.964 7.014
Al 1.483 1.964 1.369
Ag 0.000 0.000 0.107
Al 1.483 1.964 4.155
Ag 0.000 0.000 5.477


Record 7
8
Lattice="-1.051 1.910 1.869 -0.124 -2.041 2.016 14.532 3.578 4.515" Properties=species:S:1:pos:R:3 comment="Al5Ag3, optimized geometry, DFT GGA-PBEsol" spacegroup="P4mm (99)" relative_energy_ev_per_atom=0.014 m_tot_mub_per_fu=0.00 total_energy_ev_per_fu=-30.7 formation_enthalpy_0k_ev_per_atom=-0.04 pbc="T T T"
Ag 4.838 1.270 3.628
Al 12.156 3.072 5.902
Al 10.917 2.688 3.391
Al 7.217 1.777 2.242
Ag 14.479 3.564 4.498
Al 8.469 2.164 4.756
Ag 1.329 0.406 2.538
Al 3.643 0.897 1.132


Record 8
12
Lattice="-0.902 5.405 -1.266 -4.177 0.317 3.797 5.279 0.228 3.608" Properties=species:S:1:pos:R:3 comment="AlAg2, optimized geometry, DFT GGA-PBEsol" spacegroup="P1 (1)" m_tot_mub_per_fu=0.00 total_energy_ev_per_fu=-11.0 formation_enthalpy_0k_ev_per_atom=-0.09 pbc="T T T"
Ag 2.733 3.079 4.862
Ag 0.112 2.002 2.092
Ag -1.976 2.170 3.996
Ag 2.646 0.968 2.821
Ag 0.644 3.252 6.756
Ag -0.896 5.403 -1.257
Ag -2.966 5.553 0.663
Al 0.601 1.351 4.745
Ag 0.066 4.072 3.999
Al 2.257 3.745 2.232
Al -2.512 4.833 3.275
Al -0.414 4.674 1.381


Record 9
8
Lattice="-0.337 -0.492 -3.906 -3.470 -1.879 0.537 -2.068 8.359 1.124" Properties=species:S:1:pos:R:3 comment="AlAg, optimized geometry, DFT GGA-PBEsol" spacegroup="Imma (74)" m_tot_mub_per_fu=0.00 total_energy_ev_per_fu=-7.5 formation_enthalpy_0k_ev_per_atom=-0.04 pbc="T T T"
Al -4.252 1.020 -1.760
Ag -3.511 3.755 -2.168
Ag -2.364 2.233 -0.077
Al -1.623 4.968 -0.486
Al -4.350 5.821 -0.358
Ag -3.107 -0.497 0.331
Ag -2.767 6.485 -2.577
Al -1.525 0.167 -1.888


Record 10
6
Lattice="-4.038 -2.384 2.019 4.595 -0.847 2.057 -0.889 4.977 0.710" Properties=species:S:1:pos:R:3 comment="AlAg2, optimized geometry, DFT GGA-PBEsol" spacegroup="I4/mcm (140)" m_tot_mub_per_fu=0.00 total_energy_ev_per_fu=-10.7 formation_enthalpy_0k_ev_per_atom=0.02 pbc="T T T"
Ag 1.656 3.152 2.272
Ag -1.988 -1.406 2.514
Al 0.139 -0.808 1.019
Ag 0.736 0.201 3.415
Ag -1.068 1.545 1.371
Al 0.418 -2.423 3.057


Record 11
6
Lattice="2.869 0.000 0.000 0.000 2.869 0.000 0.000 0.000 11.904" Properties=species:S:1:pos:R:3 comment="AlAg2, optimized geometry, DFT GGA-PBEsol" spacegroup="P4/nmm (129)" m_tot_mub_per_fu=0.00 total_energy_ev_per_fu=-10.8 formation_enthalpy_0k_ev_per_atom=-0.02 pbc="T T T"
Al 1.434 0.000 4.968
Al 0.000 1.434 6.936
Ag 1.434 0.000 8.836
Ag 0.000 1.434 10.900
Ag 1.434 0.000 1.005
Ag 0.000 1.434 3.069


Record 12
7
Lattice="-0.472 3.744 1.472 -0.134 -3.616 3.314 6.368 0.854 0.025" Properties=species:S:1:pos:R:3 comment="Al6Ag, optimized geometry, DFT GGA-PBEsol" spacegroup="P-1 (2)" relative_energy_ev_per_atom=0.029 m_tot_mub_per_fu=0.00 total_energy_ev_per_fu=-27.8 formation_enthalpy_0k_ev_per_atom=0.01 pbc="T T T"
Al 1.526 -1.255 3.500
Al 0.521 1.236 2.503
Ag 0.000 0.000 0.000
Al 3.156 1.120 3.625
Al 4.235 2.238 1.312
Al 5.240 -0.254 2.309
Al 2.605 -0.138 1.187